# Dy6ErIn6

A relaxed Dy6ErIn6 crystal (GGA-PBE, Alexandria via LeMat-Bulk).

a = 6.2677 Å, b = 6.2677 Å, c = 10.7076 Å
α = 90.00°, β = 90.00°, γ = 120.00°
Space group P6/mmm (No. 191)
Inequivalent atoms, fractional coordinates:
1 Dy 0.0000 0.0000 0.1636 (multiplicity 2)
2 Dy 0.3333 0.6667 0.0000 (multiplicity 2)
3 Dy 0.3333 0.6667 0.5000 (multiplicity 2)
4 Er 0.0000 0.0000 0.5000 (multiplicity 1)
5 In 0.0000 0.5000 0.2537 (multiplicity 6)

Electronic total energy = -4.045 eV per atom
Magnetic moment = 0.38 Bohr magnetons per cell